[1]
This record from Alexandria via LeMat-Bulk describes Ti4Ga3Sn after structural relaxation. The functional is PBE.

Geometry as POSCAR:
```
Ti4Ga3Sn
1.0
9.4814 0.0000 0.0000
0.0000 5.1075 0.0000
0.0000 0.0000 5.6920
Ti Ga Sn
8 6 2
direct
0.0000 0.1378 0.0000
0.0000 0.6633 0.2328
0.2430 0.9710 0.7471
0.2570 0.0290 0.2471
0.5000 0.3367 0.7328
0.5000 0.8622 0.5000
0.7430 0.0290 0.2471
0.7570 0.9710 0.7471
0.0000 0.6472 0.7584
0.2372 0.4742 0.9864
0.2628 0.5258 0.4864
0.5000 0.3528 0.2584
0.7372 0.5258 0.4864
0.7628 0.4742 0.9864
0.0000 0.1651 0.4940
0.5000 0.8349 0.9940
```

Output
Uncorrected energy in eV per cell: -93.55


[2]
This record from Alexandria via LeMat-Bulk describes Ti4Ga2Sn after structural relaxation. The functional is PBE.

Geometry as POSCAR:
```
Ti4Ga2Sn
1.0
5.0908 0.0000 0.0000
0.0000 5.5540 0.0000
-1.3213 0.0000 8.8744
Ti Ga Sn
8 4 2
direct
0.0334 0.2500 0.2012
0.1313 0.7500 0.4531
0.4162 0.0013 0.7272
0.4162 0.4987 0.7272
0.5838 0.5013 0.2728
0.5838 0.9987 0.2728
0.8687 0.2500 0.5469
0.9666 0.7500 0.7988
0.3329 0.2500 0.4654
0.4965 0.2500 0.0125
0.5035 0.7500 0.9875
0.6671 0.7500 0.5346
0.0462 0.7500 0.1425
0.9538 0.2500 0.8575
```

Output
Uncorrected energy in eV per cell: -86.91


[3]
This record from Alexandria via LeMat-Bulk describes Ti6Ga5Sn after structural relaxation. The functional is PBE.

Geometry as POSCAR:
```
Ti6Ga5Sn
1.0
3.5555 -4.4137 0.0000
3.5555 4.4137 0.0000
-1.0101 0.0000 6.8161
Ti Ga Sn
6 5 1
direct
0.0704 0.4150 0.7421
0.2420 0.2420 0.2568
0.4150 0.0704 0.7421
0.5850 0.9296 0.2579
0.7580 0.7580 0.7432
0.9296 0.5850 0.2579
0.0000 0.0000 0.5000
0.1624 0.8376 0.0000
0.3392 0.6608 0.5000
0.6608 0.3392 0.5000
0.8376 0.1624 0.0000
0.5000 0.5000 0.0000
```

Output
Uncorrected energy in eV per cell: -68.72


[4]
This record from Alexandria via LeMat-Bulk describes Tl2Ga3Sn4 after structural relaxation. The functional is PBE.

Geometry as POSCAR:
```
Tl2Ga3Sn4
1.0
0.0000 4.9511 8.3367
2.8465 0.0000 8.3367
2.8465 4.9511 0.0000
Tl Ga Sn
2 3 4
direct
0.1158 0.1158 0.8842
0.8842 0.8842 0.1158
0.0000 0.0000 0.5000
0.5000 0.5000 0.0000
0.5000 0.5000 0.5000
0.1634 0.4917 0.5083
0.4917 0.1634 0.8366
0.5083 0.8366 0.1634
0.8366 0.5083 0.4917
```

Output
Uncorrected energy in eV per cell: -29.30


[5]
This record from Alexandria via LeMat-Bulk describes Tl3Ga8Sn3 after structural relaxation. The functional is PBE.

Geometry as POSCAR:
```
Tl3Ga8Sn3
1.0
8.5979 -2.1785 0.0000
8.5979 2.1785 0.0000
-5.8549 0.0000 9.0355
Tl Ga Sn
3 8 3
direct
0.0000 0.0000 0.0000
0.3132 0.3132 0.3262
0.6868 0.6868 0.6738
0.1283 0.1283 0.8505
0.1717 0.1717 0.4514
0.3560 0.3560 0.7137
0.4875 0.4875 0.2803
0.5125 0.5125 0.7197
0.6440 0.6440 0.2863
0.8283 0.8283 0.5486
0.8717 0.8717 0.1495
0.0000 0.0000 0.5000
0.3208 0.3208 0.9435
0.6792 0.6792 0.0565
```

Output
Uncorrected energy in eV per cell: -42.70
ΔE to the lowest computed polymorph in meV per atom: 12.5


[6]
This record from Alexandria via LeMat-Bulk describes Tl4GaSn4 after structural relaxation. The functional is PBE.

Geometry as POSCAR:
```
Tl4GaSn4
1.0
-5.9430 5.9430 1.8400
5.9430 -5.9430 1.8400
5.9430 5.9430 -1.8400
Tl Ga Sn
4 1 4
direct
0.0586 0.3328 0.3914
0.3328 0.9414 0.2742
0.6672 0.0586 0.7258
0.9414 0.6672 0.6086
0.0000 0.0000 0.0000
0.3402 0.3812 0.7214
0.3812 0.6598 0.0410
0.6188 0.3402 0.9590
0.6598 0.6188 0.2786
```

Output
Uncorrected energy in eV per cell: -28.03


Which DOS(E_F) belongs to each record? In order, 8.84, 6.51, 9.41, 3.56, 5.78, 4.21 states/eV/f.u..